Entry from Alexandria: a relaxed structure of PrVF2 (GGA+U).

a = 3.5891 Å, b = 3.5891 Å, c = 19.7654 Å
α = 90.00°, β = 90.00°, γ = 120.00°
Space group R-3m (No. 166, hexagonal axes)
Unique sites:
Pr  0.0000  0.0000  0.0000 [3 per cell]
V  0.0000  0.0000  0.5000 [3 per cell]
F  0.0000  0.0000  0.1283 [6 per cell]

Results
* total moment: 5.64 Bohr magnetons per cell
* electronic total energy: -69.111 eV for the cell shown
* calculated density: 5.19 g cm⁻³